Entry 1:
This record from Alexandria describes a crystal of TaTeAs2P relaxed with PBEsol. The functional is SCAN.

Unit cell a=5.000 b=5.000 c=4.715 alpha=90.00 beta=90.00 gamma=90.00
Space group P4/mmm (No. 123)
One atom of each set of equivalent atoms:
Ta 0.000 0.000 0.000 [1 per cell]
Te 0.500 0.500 0.500 [1 per cell]
As 0.000 0.500 0.000 [2 per cell]
P 0.000 0.000 0.500 [1 per cell]

The value obtained for the magnetic moment is 0.000 μB/atom. The total DFT energy (no corrections) comes out at -30.4738 eV per atom. As for the volume: 117.89 Å³ per cell. Its uncorrected formation energy is 0.449 eV per atom.

Entry 2:
This record from Alexandria describes a crystal of Ta2TiAsP relaxed with PBEsol. The functional is SCAN.

Unit cell a=4.703 b=4.703 c=4.516 alpha=90.00 beta=90.00 gamma=90.00
Space group P4/mmm (No. 123)
One atom of each set of equivalent atoms:
Ta 0.000 0.500 0.000 [2 per cell]
Ti 0.000 0.000 0.500 [1 per cell]
As 0.000 0.000 0.000 [1 per cell]
P 0.500 0.500 0.500 [1 per cell]

The value obtained for the magnetic moment is 0.002 μB/atom. The total DFT energy (no corrections) comes out at -34.9547 eV per atom. As for the volume: 99.91 Å³ per cell. The calculated formation energy comes out at 1.002 eV/atom.

Entry 3:
This record from Alexandria describes a crystal of TcAsP2 relaxed with PBEsol. The functional is SCAN.

Unit cell a=4.185 b=4.185 c=6.408 alpha=90.00 beta=90.00 gamma=90.00
Space group I-4m2 (No. 119)
One atom of each set of equivalent atoms:
Tc 0.000 0.000 0.000 [2 per cell]
As 0.000 0.500 0.250 [2 per cell]
P 0.000 0.000 0.500 [2 per cell]
P 0.000 0.500 0.750 [2 per cell]

The value obtained for the magnetic moment is 0.000 μB/atom. The total DFT energy (no corrections) comes out at -18.5087 eV per atom. As for the volume: 112.23 Å³ per cell. The calculated formation energy comes out at 0.503 eV/atom.

Entry 4:
This record from Alexandria describes a crystal of TcAsP relaxed with PBEsol. The functional is SCAN.

Unit cell a=5.766 b=5.766 c=5.766 alpha=90.00 beta=90.00 gamma=90.00
Space group F-43m (No. 216)
One atom of each set of equivalent atoms:
Tc 0.000 0.000 0.000 [4 per cell]
As 0.000 0.000 0.500 [4 per cell]
P 0.250 0.250 0.250 [4 per cell]

The value obtained for the magnetic moment is 0.226 μB/atom. The total DFT energy (no corrections) comes out at -21.4473 eV per atom. The relative energy among the computed polymorphs is 278 meV per atom. As for the volume: 191.66 Å³ per cell. The calculated formation energy comes out at 0.436 eV/atom.

Entry 5:
This record from Alexandria describes a crystal of Tc2AsP relaxed with PBEsol. The functional is SCAN.

Unit cell a=2.964 b=2.964 c=5.997 alpha=90.00 beta=90.00 gamma=90.00
Space group P4/mmm (No. 123)
One atom of each set of equivalent atoms:
Tc 0.000 0.000 0.237 [2 per cell]
As 0.500 0.500 0.500 [1 per cell]
P 0.500 0.500 0.000 [1 per cell]

The value obtained for the magnetic moment is 0.000 μB/atom. The total DFT energy (no corrections) comes out at -25.4310 eV per atom. The relative energy among the computed polymorphs is 0 meV per atom. As for the volume: 52.69 Å³ per cell. The calculated formation energy comes out at -0.254 eV/atom.

Entry 6:
This record from Alexandria describes a crystal of Tc2AsP relaxed with PBEsol. The functional is SCAN.

Unit cell a=2.914 b=4.635 c=9.333 alpha=90.00 beta=90.00 gamma=90.00
Space group Cmm2 (No. 35)
One atom of each set of equivalent atoms:
Tc 0.000 0.000 0.000 [2 per cell]
Tc 0.000 0.500 0.240 [2 per cell]
As 0.000 0.000 0.463 [2 per cell]
P 0.000 0.500 0.802 [2 per cell]

The value obtained for the magnetic moment is 0.001 μB/atom. The total DFT energy (no corrections) comes out at -24.9095 eV per atom. The relative energy among the computed polymorphs is 521 meV per atom. As for the volume: 126.06 Å³ per cell. The calculated formation energy comes out at 0.268 eV/atom.

Entry 7:
This record from Alexandria describes a crystal of TcAsP2 relaxed with PBEsol. The functional is SCAN.

Unit cell a=2.9746 b=2.9746 c=23.8658 alpha=90.00 beta=90.00 gamma=120.00
Space group R-3m (No. 166, hexagonal axes)
One atom of each set of equivalent atoms:
Tc 0.0000 0.0000 0.0000 [3 per cell]
As 0.0000 0.0000 0.5000 [3 per cell]
P 0.0000 0.0000 0.2627 [6 per cell]

The value obtained for the magnetic moment is 0.000 μB/atom. The total DFT energy (no corrections) comes out at -18.9756 eV per atom. As for the volume: 182.88 Å³ per cell. The calculated formation energy comes out at 0.036 eV/atom.

Entry 8:
This record from Alexandria describes a crystal of TcAsP2 relaxed with PBEsol. The functional is SCAN.

Unit cell a=3.251 b=4.741 c=7.510 alpha=90.00 beta=90.00 gamma=90.00
Space group Immm (No. 71)
One atom of each set of equivalent atoms:
Tc 0.000 0.000 0.000 [2 per cell]
As 0.000 0.000 0.500 [2 per cell]
P 0.000 0.500 0.245 [4 per cell]

The value obtained for the magnetic moment is 0.000 μB/atom. The total DFT energy (no corrections) comes out at -18.5060 eV per atom. As for the volume: 115.76 Å³ per cell. The calculated formation energy comes out at 0.506 eV/atom.

Entry 9:
This record from Alexandria describes a crystal of TcAsP2 relaxed with PBEsol. The functional is SCAN.

Unit cell a=4.377 b=4.377 c=2.960 alpha=90.00 beta=90.00 gamma=90.00
Space group P4/mmm (No. 123)
One atom of each set of equivalent atoms:
Tc 0.000 0.000 0.000 [1 per cell]
As 0.500 0.500 0.000 [1 per cell]
P 0.000 0.500 0.500 [2 per cell]

The value obtained for the magnetic moment is 0.000 μB/atom. The total DFT energy (no corrections) comes out at -18.4574 eV per atom. As for the volume: 56.69 Å³ per cell. The calculated formation energy comes out at 0.555 eV/atom.

Entry 10:
This record from Alexandria describes a crystal of TcAsP4 relaxed with PBEsol. The functional is SCAN.

Unit cell a=6.983 b=6.983 c=6.983 alpha=90.00 beta=90.00 gamma=90.00
Space group F-43m (No. 216)
One atom of each set of equivalent atoms:
Tc 0.000 0.000 0.000 [4 per cell]
As 0.250 0.250 0.750 [4 per cell]
P 0.124 0.124 0.376 [16 per cell]

The value obtained for the magnetic moment is 0.000 μB/atom. The total DFT energy (no corrections) comes out at -15.1009 eV per atom. As for the volume: 340.47 Å³ per cell. The calculated formation energy comes out at 1.040 eV/atom.

Entry 11:
This record from Alexandria describes a crystal of Tc2AsP relaxed with PBEsol. The functional is SCAN.

Unit cell a=2.9638 b=2.9638 c=22.9026 alpha=90.00 beta=90.00 gamma=120.00
Space group R3m (No. 160, hexagonal axes)
One atom of each set of equivalent atoms:
Tc 0.0000 0.0000 0.0000 [3 per cell]
Tc 0.0000 0.0000 0.2373 [3 per cell]
As 0.0000 0.0000 0.4932 [3 per cell]
P 0.0000 0.0000 0.7358 [3 per cell]

The value obtained for the magnetic moment is 0.000 μB/atom. The total DFT energy (no corrections) comes out at -25.2176 eV per atom. The relative energy among the computed polymorphs is 213 meV per atom. As for the volume: 174.23 Å³ per cell. The calculated formation energy comes out at -0.040 eV/atom.

Entry 12:
This record from Alexandria describes a crystal of TcAsP relaxed with PBEsol. The functional is SCAN.

Unit cell a=4.0876 b=4.0876 c=3.1034 alpha=90.00 beta=90.00 gamma=120.00
Space group P-6m2 (No. 187)
One atom of each set of equivalent atoms:
Tc 0.0000 0.0000 0.0000 [1 per cell]
As 0.3333 0.6667 0.5000 [1 per cell]
P 0.6667 0.3333 0.0000 [1 per cell]

The value obtained for the magnetic moment is 0.000 μB/atom. The total DFT energy (no corrections) comes out at -21.7248 eV per atom. The relative energy among the computed polymorphs is 0 meV per atom. As for the volume: 44.91 Å³ per cell. The calculated formation energy comes out at 0.158 eV/atom.

Entry 13:
This record from Alexandria describes a crystal of TeAsP2 relaxed with PBEsol. The functional is SCAN.

Unit cell a=6.626 b=6.626 c=6.626 alpha=90.00 beta=90.00 gamma=90.00
Space group Fm-3m (No. 225)
One atom of each set of equivalent atoms:
Te 0.000 0.000 0.000 [4 per cell]
As 0.000 0.000 0.500 [4 per cell]
P 0.250 0.250 0.250 [8 per cell]

The value obtained for the magnetic moment is 0.000 μB/atom. The total DFT energy (no corrections) comes out at -18.8182 eV per atom. As for the volume: 290.94 Å³ per cell. Its uncorrected formation energy is 0.742 eV per atom.

Entry 14:
This record from Alexandria describes a crystal of TeAs2P relaxed with PBEsol. The functional is SCAN.

Unit cell a=3.244 b=3.244 c=7.816 alpha=90.00 beta=90.00 gamma=90.00
Space group P4/mmm (No. 123)
One atom of each set of equivalent atoms:
Te 0.000 0.000 0.000 [1 per cell]
As 0.500 0.500 0.331 [2 per cell]
P 0.000 0.000 0.500 [1 per cell]

The value obtained for the magnetic moment is 0.000 μB/atom. The total DFT energy (no corrections) comes out at -21.5661 eV per atom. As for the volume: 82.27 Å³ per cell. Its uncorrected formation energy is 0.442 eV per atom.

Entry 15:
This record from Alexandria describes a crystal of TiAsP3 relaxed with PBEsol. The functional is SCAN.

Unit cell a=4.618 b=4.618 c=4.618 alpha=90.00 beta=90.00 gamma=90.00
Space group Pm-3m (No. 221)
One atom of each set of equivalent atoms:
Ti 0.000 0.000 0.000 [1 per cell]
As 0.500 0.500 0.500 [1 per cell]
P 0.000 0.000 0.500 [3 per cell]

The value obtained for the magnetic moment is 0.000 μB/atom. The total DFT energy (no corrections) comes out at -12.9082 eV per atom. As for the volume: 98.48 Å³ per cell. The calculated formation energy comes out at 0.575 eV/atom.